1.
4
Lattice="-3.217 0.588 -0.803 -1.099 -3.650 1.726 1.597 3.413 3.162" Properties=species:S:1:pos:R:3 comment="PBEsol AlSiW2, optimized geometry" e_form_raw_kj_per_mol_atoms=2 magmom_total_mub_per_fu=0.00 polymorph_energy_mev_per_atom=213 dos_at_fermi_per_ev_fu=2.3 vol_a3_per_cell=58 pbc="T T T"
Al -2.159 -1.528 0.467
W -1.883 1.218 1.376
W -2.716 0.343 4.068
Si -0.837 -0.860 2.721

2.
4
Lattice="-1.578 -0.348 -2.312 1.485 -3.999 -0.411 -2.991 -1.518 3.963" Properties=species:S:1:pos:R:3 comment="PBEsol Al2SiW, optimized geometry" e_form_raw_kj_per_mol_atoms=-2 magmom_total_mub_per_fu=0.00 dos_at_fermi_per_ev_fu=1.6 vol_a3_per_cell=60 pbc="T T T"
W -2.206 -3.298 1.768
Al -1.224 -2.678 -0.714
Al -2.983 -1.493 3.748
Si -1.945 -0.849 1.228

3.
5
Lattice="4.174 0.000 0.000 -2.087 3.615 0.000 0.000 0.000 6.496" Properties=species:S:1:pos:R:3 comment="PBEsol YAl2Si2, optimized geometry" e_form_raw_kj_per_mol_atoms=-39 magmom_total_mub_per_fu=0.00 dos_at_fermi_per_ev_fu=1.7 vol_a3_per_cell=98 pbc="T T T"
Si 2.087 1.205 4.825
Si 0.000 2.410 1.671
Y 0.000 0.000 0.000
Al 2.087 1.205 2.305
Al 0.000 2.410 4.191

4.
10
Lattice="3.249 0.000 0.000 0.000 7.399 0.000 0.000 0.000 7.399" Properties=species:S:1:pos:R:3 comment="PBEsol YAl2Si2, optimized geometry" e_form_raw_kj_per_mol_atoms=-13 magmom_total_mub_per_fu=0.00 dos_at_fermi_per_ev_fu=1.9 vol_a3_per_cell=178 pbc="T T T"
Al 0.000 0.916 2.783
Al 0.000 6.483 4.616
Al 0.000 4.616 0.916
Al 0.000 2.783 6.483
Si 1.625 4.952 6.146
Si 1.625 6.146 2.447
Si 1.625 1.253 4.952
Si 1.625 2.447 1.253
Y 0.000 0.000 0.000
Y 0.000 3.699 3.699

5.
4
Lattice="4.089 0.000 0.000 0.000 4.089 0.000 0.000 0.000 4.366" Properties=species:S:1:pos:R:3 comment="PBEsol YAl2Si, optimized geometry" e_form_raw_kj_per_mol_atoms=-41 magmom_total_mub_per_fu=0.00 dos_at_fermi_per_ev_fu=1.1 vol_a3_per_cell=73 pbc="T T T"
Al 2.045 0.000 0.000
Al 0.000 2.045 0.000
Si 2.045 2.045 2.183
Y 0.000 0.000 2.183

6.
4
Lattice="-3.110 0.758 -0.110 -2.006 -1.726 -1.804 -3.184 -5.442 5.906" Properties=species:S:1:pos:R:3 comment="PBEsol YAlSi2, optimized geometry" e_form_raw_kj_per_mol_atoms=-3 magmom_total_mub_per_fu=0.00 dos_at_fermi_per_ev_fu=2.3 vol_a3_per_cell=75 pbc="T T T"
Si -2.034 -1.461 0.817
Si -6.266 -4.949 3.175
Al 0.000 0.000 0.000
Y -4.150 -3.205 1.996

Number 1: calculated total energy -9.35 eV per atom. Number 2: calculated total energy -6.95 eV per atom. Number 3: calculated total energy -5.70 eV per atom. Number 4: calculated total energy -5.43 eV per atom. Number 5: calculated total energy -5.61 eV per atom. Number 6: calculated total energy -5.63 eV per atom.